10
Lattice="-4.025 4.025 5.884 4.025 -4.025 5.884 4.025 4.025 -5.884" Properties=species:S:1:pos:R:3 comment="Rb2TiPdI6 GGA-PBE relaxed" volume_a3_per_atom=38.1 space_group="I4/mmm, No. 139" dft_energy_ev_per_atom=-3.265 raw_formation_energy_ev_per_atom=-0.832 mass_density_g_cm3=4.733 pbc="T T T"
Rb 4.025 0.000 2.942
Rb 0.000 4.025 2.942
Ti 0.000 0.000 0.000
Pd 0.000 0.000 5.884
I 0.000 0.000 2.820
I 1.994 1.994 0.000
I 2.031 -2.031 5.884
I -2.031 2.031 5.884
I 2.031 2.031 5.884
I 0.000 0.000 8.947